Entry 1:
Below is a relaxed structure of ZrReCl2, with properties calculated at the PBE level.

Formation energy (no corrections) in eV/atom: -0.35
Raw total energy in eV per atom: -6.518
Relative energy among the computed polymorphs in eV per formula unit: 0.80

a = 14.0525 Å, b = 3.1636 Å, c = 4.5388 Å
α = 90.00°, β = 92.52°, γ = 90.00°
Closest atoms and distances in Å follow each position.
Space group C2/m (No. 12)
Asymmetric unit:
Zr1 0.0000 0.0000 0.0000 (multiplicity 2)  4 Cl 2.70, 4 Re 2.77
Re1 0.0000 0.5000 0.5000 (multiplicity 2)  2 Cl 2.40
Cl1 0.1414 0.5000 0.2222 (multiplicity 4)  1 Re 2.40


Entry 2:
Below is a relaxed structure of ZrReCl2, with properties calculated at the PBE level.

Formation energy (no corrections) in eV/atom: 0.60
Raw total energy in eV per atom: -5.572
Relative energy among the computed polymorphs in eV per formula unit: 4.59

a = 6.7382 Å, b = 6.7382 Å, c = 6.7382 Å
α = 90.00°, β = 90.00°, γ = 90.00°
Closest atoms and distances in Å follow each position.
Space group F-43m (No. 216)
Asymmetric unit:
Zr1 0.0000 0.0000 0.0000 (multiplicity 4)  4 Re 2.92, 4 Cl 2.92
Re1 0.2500 0.2500 0.7500 (multiplicity 4)  4 Cl 2.92, 4 Zr 2.92
Cl1 0.0000 0.0000 0.5000 (multiplicity 4)  4 Cl 2.92, 4 Re 2.92
Cl2 0.2500 0.2500 0.2500 (multiplicity 4)  4 Zr 2.92, 4 Cl 2.92


Entry 3:
Below is a relaxed structure of ZrReCl2, with properties calculated at the PBE level.

Formation energy (no corrections) in eV/atom: -0.04
Raw total energy in eV per atom: -6.209
Relative energy among the computed polymorphs in eV per formula unit: 2.04

a = 3.4903 Å, b = 4.3225 Å, c = 12.7426 Å
α = 90.00°, β = 90.00°, γ = 90.00°
Closest atoms and distances in Å follow each position.
Space group Immm (No. 71)
Asymmetric unit:
Zr1 0.0000 0.0000 0.0000 (multiplicity 2)  4 Re 2.78, 4 Cl 2.80
Re1 0.0000 0.0000 0.5000 (multiplicity 2)  4 Cl 2.50, 4 Zr 2.78
Cl1 0.0000 0.5000 0.1400 (multiplicity 4)  2 Re 2.50


Entry 4:
Below is a relaxed structure of ZrReCl2, with properties calculated at the PBE level.

Formation energy (no corrections) in eV/atom: 0.54
Raw total energy in eV per atom: -5.631
Relative energy among the computed polymorphs in eV per formula unit: 4.35

a = 4.1554 Å, b = 4.1554 Å, c = 3.9377 Å
α = 90.00°, β = 90.00°, γ = 90.00°
Closest atoms and distances in Å follow each position.
Space group P4/mmm (No. 123)
Asymmetric unit:
Zr1 0.0000 0.0000 0.0000 (multiplicity 1)  8 Cl 2.86, 4 Re 2.94
Re1 0.5000 0.5000 0.0000 (multiplicity 1)  8 Cl 2.86, 4 Zr 2.94
Cl1 0.0000 0.5000 0.5000 (multiplicity 2)  4 Re 2.86, 4 Zr 2.86, 4 Cl 2.94


Entry 5:
Below is a relaxed structure of ZrReCl2, with properties calculated at the PBE level.

Formation energy (no corrections) in eV/atom: 0.21
Raw total energy in eV per atom: -5.965
Relative energy among the computed polymorphs in eV per formula unit: 3.01

a = 2.9185 Å, b = 4.4336 Å, c = 5.5699 Å
α = 90.00°, β = 90.00°, γ = 90.00°
Closest atoms and distances in Å follow each position.
Space group Pmmm (No. 47)
Asymmetric unit:
Zr1 0.0000 0.0000 0.0000 (multiplicity 1)  4 Cl 2.65, 2 Zr 2.92
Re1 0.5000 0.0000 0.5000 (multiplicity 1)  4 Cl 2.65, 2 Re 2.92
Cl1 0.0000 0.5000 0.5000 (multiplicity 1)  4 Re 2.65, 2 Cl 2.92
Cl2 0.5000 0.5000 0.0000 (multiplicity 1)  4 Zr 2.65, 2 Cl 2.92


Entry 6:
Below is a relaxed structure of Zr4ReCl, with properties calculated at the PBE level.

Formation energy (no corrections) in eV/atom: 0.81
Raw total energy in eV per atom: -7.271

a = 8.0199 Å, b = 8.0199 Å, c = 8.0199 Å
α = 90.00°, β = 90.00°, γ = 90.00°
Closest atoms and distances in Å follow each position.
Space group F-43m (No. 216)
Asymmetric unit:
Zr1 0.1222 0.1222 0.3778 (multiplicity 16)  6 Zr 2.77-2.90
Re1 0.2500 0.2500 0.7500 (multiplicity 4)  12 Zr 3.32, 4 Cl 3.47
Cl1 0.0000 0.0000 0.0000 (multiplicity 4)  12 Zr 3.33, 4 Re 3.47


Entry 7:
Below is a relaxed structure of ZrReCl2, with properties calculated at the PBE level.

Formation energy (no corrections) in eV/atom: 0.71
Raw total energy in eV per atom: -5.459
Relative energy among the computed polymorphs in eV per formula unit: 5.04

a = 5.6544 Å, b = 5.6544 Å, c = 10.4271 Å
α = 90.00°, β = 90.00°, γ = 90.00°
Closest atoms and distances in Å follow each position.
Space group I-42d (No. 122)
Asymmetric unit:
Zr1 0.0000 0.0000 0.0000 (multiplicity 4)  4 Cl 2.49
Re1 0.0000 0.0000 0.5000 (multiplicity 4)  4 Cl 2.29
Cl1 0.2202 0.2500 0.6250 (multiplicity 8)  2 Re 2.29, 2 Zr 2.49


Entry 8:
Below is a relaxed structure of ZrReCl2, with properties calculated at the PBE level.

Formation energy (no corrections) in eV/atom: 0.01
Raw total energy in eV per atom: -6.158
Relative energy among the computed polymorphs in eV per formula unit: 2.24

a = 3.1684 Å, b = 4.2751 Å, c = 12.8172 Å
α = 90.00°, β = 90.00°, γ = 90.00°
Closest atoms and distances in Å follow each position.
Space group Imm2 (No. 44)
Asymmetric unit:
Zr1 0.0000 0.0000 0.0000 (multiplicity 2)  2 Re 2.52
Re1 0.0000 0.5000 0.3470 (multiplicity 2)  2 Zr 2.52, 4 Cl 2.66
Cl1 0.0000 0.0000 0.5992 (multiplicity 2)  4 Zr 2.95, 2 Cl 3.17
Cl2 0.0000 0.5000 0.8454 (multiplicity 2)  4 Re 2.66, 2 Zr 2.91


Q: Look up the formation energy (no corrections) of the fourth one.
A: 0.54 eV/atom


Q: formation energy (no corrections) of number 1 (ZrReCl2)?
A: -0.35 eV/atom